SrEuPPd: relaxed, PBE.

DFT formation energy = -0.755 eV/atom
Volume = 390 Å³ per cell
Raw total energy = -0.23500 hartree per atom

a b c (Å): 7.304 7.304 7.304
angles (deg): 90.00 90.00 90.00
Space group F-43m (No. 216)
Asymmetric unit:
Sr  0.000  0.000  0.000
Eu  0.000  0.000  0.500
P  0.250  0.250  0.250
Pd  0.250  0.250  0.750

***

NaGeBi3: relaxed, PBE.

DFT formation energy = 0.344 eV/atom
Volume = 179 Å³ per cell
Energy above the lowest structure with this stoichiometry = 0 meV/atom
Raw total energy = -0.11656 hartree per atom

a b c (Å): 5.636 5.636 5.636
angles (deg): 90.00 90.00 90.00
Space group Pm-3m (No. 221)
Asymmetric unit:
Na  0.000  0.000  0.000
Ge  0.500  0.500  0.500
Bi  0.000  0.500  0.500

***

PmCrAs: relaxed, PBE.

DFT formation energy = -0.493 eV/atom
Volume = 282 Å³ per cell
Raw total energy = -0.25117 hartree per atom

a b c (Å): 8.197 8.197 4.195
angles (deg): 90.00 90.00 90.00
Space group P4_2/m (No. 84)
Asymmetric unit:
Pm  0.116  0.277  0.000
Cr  0.377  0.528  0.500
As  0.223  0.624  0.000

***

These records have mass density values of 6.43, 6.70, 6.41 g/cm3, in the order they appear.